# ScZnMo3O8 (GGA-PBEsol, optimized geometry)
data_ScZnMo3O8
_cell_length_a 5.7457
_cell_length_b 5.7457
_cell_length_c 10.5010
_cell_angle_alpha 90.00
_cell_angle_beta 90.00
_cell_angle_gamma 120.00
_symmetry_space_group_name_H-M 'P 63 m c'
_symmetry_Int_Tables_number 186
_symmetry_space_group_name_Hall 'P 6c -2c'
loop_
_atom_site_label
_atom_site_type_symbol
_atom_site_fract_x
_atom_site_fract_y
_atom_site_fract_z
_atom_site_occupancy
Sc1 Sc 0.3333 0.6667 0.0000 1
Zn1 Zn 0.3333 0.6667 0.6065 1
Mo1 Mo 0.1838 0.3676 0.2880 1
O1 O 0.0000 0.0000 0.1965 1
O2 O 0.0341 0.5171 0.1543 1
O3 O 0.1677 0.3353 0.8839 1
O4 O 0.3333 0.6667 0.4230 1
# Density of states at the Fermi level in states/eV/f.u.: 5.49
# Crystal system: hexagonal
# Total moment in Bohr magnetons per cell: 0.11
# Calculated volume in Å³ per cell: 300
# Calculated total energy in eV/atom: -8.743